A geometry-optimized Ag2TeHO4 structure. Source: Alexandria, functional PBE.

Cell and atoms, written as CIF:
```
data_Ag2TeHO4
_chemical_formula_sum 'Ag2 Te1 H1 O4'
_symmetry_space_group_name_H-M 'P 1'
_symmetry_Int_Tables_number 1
_cell_length_a 4.6753
_cell_length_b 5.4364
_cell_length_c 5.6027
_cell_angle_alpha 117.54
_cell_angle_beta 111.22
_cell_angle_gamma 92.31
loop_
_symmetry_equiv_pos_as_xyz
'x,y,z'
loop_
_atom_site_label
_atom_site_fract_x
_atom_site_fract_y
_atom_site_fract_z
Ag1 0.0000 0.0000 0.0000
Ag2 0.2611 0.7764 0.5069
Te1 0.7178 0.2608 0.4910
H1 0.7393 0.4674 0.0278
O1 0.1258 0.2191 0.5043
O2 0.5167 0.0296 0.0427
O3 0.7471 0.6272 0.5164
O4 0.9323 0.4781 0.9961
```

DFT total energy = -4.534 eV per atom



A geometry-optimized Zr2AgHO structure. Source: Alexandria, functional PBE.

Cell and atoms, written as CIF:
```
data_Zr2AgHO
_chemical_formula_sum 'Zr2 Ag1 H1 O1'
_symmetry_space_group_name_H-M 'P 4/m m m'
_symmetry_Int_Tables_number 123
_symmetry_space_group_name_Hall '-P 4 2'
_cell_length_a 4.3790
_cell_length_b 4.3790
_cell_length_c 3.8302
_cell_angle_alpha 90.00
_cell_angle_beta 90.00
_cell_angle_gamma 90.00
loop_
_atom_site_label
_atom_site_fract_x
_atom_site_fract_y
_atom_site_fract_z
Zr1 0.0000 0.5000 0.0000
Ag1 0.0000 0.0000 0.5000
H1 0.0000 0.0000 0.0000
O1 0.5000 0.5000 0.5000
```

DFT total energy = -5.750 eV per atom



A geometry-optimized AgH2Os structure. Source: Alexandria, functional PBE.

Cell and atoms, written as CIF:
```
data_AgH2Os
_chemical_formula_sum 'Ag4 H8 Os4'
_symmetry_space_group_name_H-M 'I -4 2 d'
_symmetry_Int_Tables_number 122
_symmetry_space_group_name_Hall 'I -4 2bw'
_cell_length_a 5.2217
_cell_length_b 5.2217
_cell_length_c 5.7406
_cell_angle_alpha 90.00
_cell_angle_beta 90.00
_cell_angle_gamma 90.00
loop_
_atom_site_label
_atom_site_fract_x
_atom_site_fract_y
_atom_site_fract_z
Ag1 0.0000 0.0000 0.0000
H1 0.1773 0.2500 0.6250
Os1 0.0000 0.0000 0.5000
```

DFT total energy = -4.668 eV per atom
Excess energy over the best structure of this formula in the dataset = 0.0 meV per atom



A geometry-optimized Ag2HOs structure. Source: Alexandria, functional PBE.

Cell and atoms, written as CIF:
```
data_Ag2HOs
_chemical_formula_sum 'Ag8 H4 Os4'
_symmetry_space_group_name_H-M 'F m -3 m'
_symmetry_Int_Tables_number 225
_symmetry_space_group_name_Hall '-F 4 2 3'
_cell_length_a 6.2607
_cell_length_b 6.2607
_cell_length_c 6.2607
_cell_angle_alpha 90.00
_cell_angle_beta 90.00
_cell_angle_gamma 90.00
loop_
_atom_site_label
_atom_site_fract_x
_atom_site_fract_y
_atom_site_fract_z
Ag1 0.2500 0.2500 0.2500
H1 0.0000 0.0000 0.0000
Os1 0.0000 0.0000 0.5000
```

DFT total energy = -3.582 eV per atom
Excess energy over the best structure of this formula in the dataset = 405.3 meV per atom



A geometry-optimized AgHOs3 structure. Source: Alexandria, functional PBE.

Cell and atoms, written as CIF:
```
data_AgHOs3
_chemical_formula_sum 'Ag1 H1 Os3'
_symmetry_space_group_name_H-M 'P m -3 m'
_symmetry_Int_Tables_number 221
_symmetry_space_group_name_Hall '-P 4 2 3'
_cell_length_a 3.9716
_cell_length_b 3.9716
_cell_length_c 3.9716
_cell_angle_alpha 90.00
_cell_angle_beta 90.00
_cell_angle_gamma 90.00
loop_
_atom_site_label
_atom_site_fract_x
_atom_site_fract_y
_atom_site_fract_z
Ag1 0.0000 0.0000 0.0000
H1 0.5000 0.5000 0.5000
Os1 0.0000 0.5000 0.5000
```

DFT total energy = -7.174 eV per atom
Excess energy over the best structure of this formula in the dataset = 0.0 meV per atom



A geometry-optimized AgH2Os structure. Source: Alexandria, functional PBE.

Cell and atoms, written as CIF:
```
data_AgH2Os
_chemical_formula_sum 'Ag4 H8 Os4'
_symmetry_space_group_name_H-M 'F m -3 m'
_symmetry_Int_Tables_number 225
_symmetry_space_group_name_Hall '-F 4 2 3'
_cell_length_a 5.3764
_cell_length_b 5.3764
_cell_length_c 5.3764
_cell_angle_alpha 90.00
_cell_angle_beta 90.00
_cell_angle_gamma 90.00
loop_
_atom_site_label
_atom_site_fract_x
_atom_site_fract_y
_atom_site_fract_z
Ag1 0.0000 0.0000 0.0000
H1 0.2500 0.2500 0.2500
Os1 0.0000 0.0000 0.5000
```

DFT total energy = -4.025 eV per atom
Excess energy over the best structure of this formula in the dataset = 643.3 meV per atom



A geometry-optimized AgHOs2 structure. Source: Alexandria, functional PBE.

Cell and atoms, written as CIF:
```
data_AgHOs2
_chemical_formula_sum 'Ag4 H4 Os8'
_symmetry_space_group_name_H-M 'F m -3 m'
_symmetry_Int_Tables_number 225
_symmetry_space_group_name_Hall '-F 4 2 3'
_cell_length_a 5.9640
_cell_length_b 5.9640
_cell_length_c 5.9640
_cell_angle_alpha 90.00
_cell_angle_beta 90.00
_cell_angle_gamma 90.00
loop_
_atom_site_label
_atom_site_fract_x
_atom_site_fract_y
_atom_site_fract_z
Ag1 0.0000 0.0000 0.0000
H1 0.0000 0.0000 0.5000
Os1 0.2500 0.2500 0.2500
```

DFT total energy = -5.564 eV per atom
Excess energy over the best structure of this formula in the dataset = 674.4 meV per atom



A geometry-optimized AgHOs2 structure. Source: Alexandria, functional PBE.

Cell and atoms, written as CIF:
```
data_AgHOs2
_chemical_formula_sum 'Ag4 H4 Os8'
_symmetry_space_group_name_H-M 'I -4 2 d'
_symmetry_Int_Tables_number 122
_symmetry_space_group_name_Hall 'I -4 2bw'
_cell_length_a 6.1481
_cell_length_b 6.1481
_cell_length_c 5.2719
_cell_angle_alpha 90.00
_cell_angle_beta 90.00
_cell_angle_gamma 90.00
loop_
_atom_site_label
_atom_site_fract_x
_atom_site_fract_y
_atom_site_fract_z
Ag1 0.0000 0.0000 0.0000
H1 0.0000 0.0000 0.5000
Os1 0.1435 0.7500 0.6250
```

DFT total energy = -6.238 eV per atom
Excess energy over the best structure of this formula in the dataset = 0.0 meV per atom



A geometry-optimized AgHOs3 structure. Source: Alexandria, functional PBE.

Cell and atoms, written as CIF:
```
data_AgHOs3
_chemical_formula_sum 'Ag1 H1 Os3'
_symmetry_space_group_name_H-M 'P m -3 m'
_symmetry_Int_Tables_number 221
_symmetry_space_group_name_Hall '-P 4 2 3'
_cell_length_a 4.8741
_cell_length_b 4.8741
_cell_length_c 4.8741
_cell_angle_alpha 90.00
_cell_angle_beta 90.00
_cell_angle_gamma 90.00
loop_
_atom_site_label
_atom_site_fract_x
_atom_site_fract_y
_atom_site_fract_z
Ag1 0.0000 0.0000 0.0000
H1 0.5000 0.5000 0.5000
Os1 0.0000 0.0000 0.5000
```

DFT total energy = -4.204 eV per atom
Excess energy over the best structure of this formula in the dataset = 2970.3 meV per atom



A geometry-optimized Ag2HOs structure. Source: Alexandria, functional PBE.

Cell and atoms, written as CIF:
```
data_Ag2HOs
_chemical_formula_sum 'Ag8 H4 Os4'
_symmetry_space_group_name_H-M 'I -4 2 d'
_symmetry_Int_Tables_number 122
_symmetry_space_group_name_Hall 'I -4 2bw'
_cell_length_a 6.4488
_cell_length_b 6.4488
_cell_length_c 5.2081
_cell_angle_alpha 90.00
_cell_angle_beta 90.00
_cell_angle_gamma 90.00
loop_
_atom_site_label
_atom_site_fract_x
_atom_site_fract_y
_atom_site_fract_z
Ag1 0.1597 0.2500 0.1250
H1 0.0000 0.0000 0.0000
Os1 0.0000 0.0000 0.5000
```

DFT total energy = -3.987 eV per atom
Excess energy over the best structure of this formula in the dataset = 0.0 meV per atom



A geometry-optimized Ag2PHOs structure. Source: Alexandria, functional PBE.

Cell and atoms, written as CIF:
```
data_Ag2PHOs
_chemical_formula_sum 'Ag2 P1 H1 Os1'
_symmetry_space_group_name_H-M 'P 4/m m m'
_symmetry_Int_Tables_number 123
_symmetry_space_group_name_Hall '-P 4 2'
_cell_length_a 5.2249
_cell_length_b 5.2249
_cell_length_c 3.1592
_cell_angle_alpha 90.00
_cell_angle_beta 90.00
_cell_angle_gamma 90.00
loop_
_atom_site_label
_atom_site_fract_x
_atom_site_fract_y
_atom_site_fract_z
Ag1 0.0000 0.5000 0.0000
P1 0.0000 0.0000 0.5000
H1 0.5000 0.5000 0.5000
Os1 0.5000 0.5000 0.0000
```

DFT total energy = -3.909 eV per atom



A geometry-optimized AgHOs2Ru structure. Source: Alexandria, functional PBE.

Cell and atoms, written as CIF:
```
data_AgHOs2Ru
_chemical_formula_sum 'Ag1 H1 Os2 Ru1'
_symmetry_space_group_name_H-M 'P 4/m m m'
_symmetry_Int_Tables_number 123
_symmetry_space_group_name_Hall '-P 4 2'
_cell_length_a 4.8349
_cell_length_b 4.8349
_cell_length_c 3.1230
_cell_angle_alpha 90.00
_cell_angle_beta 90.00
_cell_angle_gamma 90.00
loop_
_atom_site_label
_atom_site_fract_x
_atom_site_fract_y
_atom_site_fract_z
Ag1 0.0000 0.0000 0.0000
H1 0.5000 0.5000 0.0000
Os1 0.0000 0.5000 0.5000
Ru1 0.5000 0.5000 0.5000
```

DFT total energy = -6.184 eV per atom